First-principles (GGA+U) data for CrTcO after structural relaxation, as listed in Alexandria via LeMat-Bulk.

a = 3.160 Å, b = 5.060 Å, c = 5.531 Å
α = 105.58°, β = 90.00°, γ = 90.00°
Last column: magnetic moment on the atom in μB.
Fractional positions:
Tc 0.551 0.521 0.364  -0.19
Tc 0.051 0.857 0.378  -0.15
O 0.551 0.337 0.987  -0.08
O 0.051 0.839 0.001  -0.10
Cr 0.551 0.949 0.825  3.13
Cr 0.051 0.441 0.774  3.45

Results
**D(E_F)**: 0.426 states/eV per atom
**Final energy**: -48.1 eV for the cell shown
**Space group**: Pm (6)